Record 1
5
Lattice="5.675 0.000 0.000 0.000 3.875 0.000 0.000 0.000 5.675" Properties=species:S:1:pos:R:3 comment="Mg2NbCdO, optimized geometry, DFT PBE" spacegroup=P4/mmm raw_formation_energy_ev_per_fu=-0.50 pbc="T T T"
Nb 0.000 0.000 0.000
Mg 0.000 0.000 2.838
Mg 2.838 0.000 0.000
O 0.000 1.938 0.000
Cd 2.838 1.938 2.838

---

Record 2
5
Lattice="3.764 0.000 -1.102 0.000 4.687 0.000 0.190 0.000 7.651" Properties=species:S:1:pos:R:3 comment="Sr2Si2Sn, optimized geometry, DFT PBE" spacegroup=Cmmm raw_formation_energy_ev_per_fu=-2.32 pbc="T T T"
Sr 1.534 2.343 5.262
Sr 2.420 2.343 1.287
Si 3.113 0.000 3.664
Si 0.841 0.000 2.885
Sn 0.000 0.000 0.000

---

Record 3
4
Lattice="-1.000 -1.664 1.951 3.790 -1.765 0.436 1.404 4.046 4.171" Properties=species:S:1:pos:R:3 comment="TcAsAu2, optimized geometry, DFT PBE" spacegroup=Pmmm ef_ev_per_atom=0.42 pbc="T T T"
As 2.448 1.320 4.322
Au 0.014 0.041 0.042
Au 0.688 1.982 2.043
Tc 1.746 -0.703 2.236

---

Record 4
4
Lattice="-2.503 -2.077 0.150 0.433 -0.912 -5.408 3.492 -4.137 0.977" Properties=species:S:1:pos:R:3 comment="PuZrSb2, optimized geometry, DFT PBE" spacegroup=P4/mmm polymorph_energy_ev_per_fu=0.64 raw_formation_energy_ev_per_fu=-1.95 pbc="T T T"
Sb 1.746 -2.069 0.489
Sb 0.216 -0.456 -2.704
Zr 0.711 -3.563 -2.141
Pu -1.252 -1.039 0.075

---

Record 5
14
Lattice="-3.508 -5.500 -2.985 4.765 1.075 -5.255 4.585 -4.632 3.294" Properties=species:S:1:pos:R:3 comment="Pm3PrPt3, optimized geometry, DFT PBE" spacegroup=C2/m ef_ev_per_atom=-0.90 pbc="T T T"
Pm 2.543 -4.667 -4.250
Pm 5.590 -2.407 -3.205
Pm 0.251 -6.650 -1.741
Pm 2.745 -0.531 -4.701
Pm -1.488 -3.895 -3.539
Pm 3.298 -4.390 -0.696
Pr 4.956 -7.338 -3.192
Pr 0.885 -1.719 -1.754
Pt 2.073 -5.060 -7.100
Pt 2.216 -8.240 -3.203
Pt 6.263 -5.024 -4.313
Pt 3.625 -0.817 -1.743
Pt -0.422 -4.034 -0.633
Pt 3.768 -3.998 2.155

---

Record 6
11
Lattice="5.898 0.000 1.761 2.949 5.339 0.880 -1.325 0.000 11.649" Properties=species:S:1:pos:R:3 comment="Pr2Sm3Ho6, optimized geometry, DFT PBE" spacegroup=C2/m polymorph_energy_ev_per_fu=0.00 ef_ev_per_atom=0.18 pbc="T T T"
Pr 2.286 3.558 6.705
Pr 5.235 1.780 7.586
Sm 0.000 0.000 0.000
Sm 2.949 1.754 0.880
Sm 5.898 3.584 1.761
Ho 3.425 3.560 10.074
Ho 3.423 0.000 10.076
Ho 0.476 1.779 9.193
Ho 1.150 0.000 3.335
Ho 4.097 1.779 4.217
Ho 7.046 3.560 5.098

---

Record 7
14
Lattice="5.823 0.000 0.074 0.000 5.801 0.000 -2.057 0.000 6.205" Properties=species:S:1:pos:R:3 comment="Tb2TcN4, optimized geometry, DFT PBE" spacegroup=P2_1/m raw_formation_energy_ev_per_fu=-5.82 pbc="T T T"
Tb 3.837 4.351 0.277
Tb -0.071 1.450 6.003
Tb 0.625 1.450 2.765
Tb 3.141 4.351 3.514
Tc 0.855 4.351 1.177
Tc 2.911 1.450 5.102
N 2.153 2.980 1.563
N -1.663 4.351 5.650
N 5.429 1.450 0.630
N 2.153 5.722 1.563
N 4.377 1.450 4.037
N 1.613 0.079 4.716
N 1.613 2.821 4.716
N -0.611 4.351 2.242

---

Record 8
12
Lattice="-2.544 -4.137 -2.887 4.808 -3.341 -0.108 -3.047 0.792 7.408" Properties=species:S:1:pos:R:3 comment="TaPdS4, optimized geometry, DFT PBE" spacegroup=C2/c raw_formation_energy_ev_per_fu=-2.53 pbc="T T T"
Ta 1.536 -3.062 -0.059
Ta -2.319 -3.624 4.472
Pd 1.834 -2.492 4.390
Pd -2.617 -4.194 0.023
S -1.493 -4.960 -2.129
S 2.088 -5.195 -1.086
S -0.362 -2.484 3.440
S -0.422 -4.202 0.973
S 2.423 -3.568 2.210
S -2.871 -1.491 5.500
S -3.206 -3.117 2.203
S 0.710 -1.726 6.543

---

Record 9
4
Lattice="11.618 -0.036 -0.021 11.143 3.287 -0.021 11.143 1.592 2.876" Properties=species:S:1:pos:R:3 comment="K2InRh, optimized geometry, DFT PBE" spacegroup=R-3m ef_ev_per_atom=0.57 pbc="T T T"
In 25.429 3.633 2.126
K 33.538 4.791 2.804
K 17.320 2.474 1.448
Rh 8.476 1.211 0.709

---

Record 10
5
Lattice="-1.187 -2.669 -1.828 2.858 -1.777 0.740 -2.584 -5.070 5.830" Properties=species:S:1:pos:R:3 comment="Zr2W2C, optimized geometry, DFT PBE" spacegroup=I4/mmm polymorph_energy_ev_per_fu=0.58 ef_ev_per_atom=1.00 pbc="T T T"
C 0.000 0.000 0.000
Zr 0.246 -2.715 0.556
Zr -1.158 -6.802 4.185
W -1.467 -4.981 1.729
W 0.555 -4.535 3.013

---

Record 11
15
Lattice="6.906 0.278 0.287 0.062 6.911 0.287 0.062 0.064 6.917" Properties=species:S:1:pos:R:3 comment="CeNb6Se8, optimized geometry, DFT PBE" spacegroup=R-3 raw_formation_energy_ev_per_fu=-13.01 pbc="T T T"
Ce 0.000 0.000 0.000
Nb 4.119 3.302 5.760
Nb 3.172 5.622 4.403
Nb 5.520 4.293 3.486
Nb 2.911 3.950 1.730
Nb 3.858 1.631 3.087
Nb 1.510 2.960 4.004
Se 5.392 5.562 5.745
Se 1.638 1.690 1.746
Se 4.296 6.225 2.049
Se 6.088 1.903 4.552
Se 1.712 4.352 6.287
Se 2.734 1.028 5.441
Se 0.942 5.349 2.938
Se 5.317 2.901 1.203

---

Record 12
10
Lattice="-1.233 5.858 -3.123 -5.041 1.244 4.322 -0.182 5.848 3.572" Properties=species:S:1:pos:R:3 comment="Ce2Ga6PdRh, optimized geometry, DFT PBE" spacegroup=P-1 ef_ev_per_atom=-0.36 pbc="T T T"
Ce -4.178 5.326 4.238
Ce -2.279 7.623 0.532
Ga -4.091 2.395 2.469
Ga -4.709 5.334 0.901
Ga -1.654 4.701 2.093
Ga -2.365 10.555 2.302
Ga -1.747 7.615 3.870
Ga -4.802 8.249 2.678
Pd -3.137 3.551 0.599
Rh 0.000 0.000 0.000

---

no.,calculated total energy (eV/atom),total moment (μB/f.u.),V (Å³/cell)
1,-3.9274,0.00,124.8
2,-4.1059,0.00,135.9
3,-4.9749,0.00,69.2
4,-8.2698,6.31,98.6
5,-6.2066,0.00,372.4
6,-4.4711,0.00,379.2
7,-8.3928,0.00,210.5
8,-6.0135,0.00,227.1
9,-2.5004,0.70,111.8
10,-9.4421,0.00,92.3
11,-7.1492,1.24,329.8
12,-4.6132,3.22,217.9